[1]
First-principles (PBE) data for crystalline AcNd2Dy8 at its relaxed geometry, as listed in the Alexandria database.

a b c (Å): 5.5470 8.2884 16.2366
angles (deg): 90.00 90.00 90.00
Space group Immm (No. 71)
Symmetry-distinct sites (fractional):
Ac: 0.0000 0.0000 0.0000 x2
Nd: 0.0000 0.0000 0.3006 x4
Dy: 0.0000 0.2034 0.5000 x4
Dy: 0.0000 0.2956 0.1441 x8
Dy: 0.0000 0.5000 0.3392 x4

Summary:
Energy of formation in eV/f.u.: 1.46



[2]
First-principles (PBE) data for crystalline La8Si3PdBr4 at its relaxed geometry, as listed in the Alexandria database.

a b c (Å): 8.7640 8.7640 21.7831
angles (deg): 90.00 90.00 120.00
Space group R-3m (No. 166, hexagonal axes)
Symmetry-distinct sites (fractional):
La: 0.0000 0.0000 0.2402 x6
La: 0.0036 0.5018 0.7599 x18
Si: 0.0000 0.5000 0.5000 x9
Pd: 0.0000 0.0000 0.5000 x3
Br: 0.0000 0.0000 0.0000 x3
Br: 0.0000 0.5000 0.0000 x9

Summary:
Formation energy from raw total energies in kcal/mol of atoms: -25.70



[3]
First-principles (PBE) data for crystalline Si2AsPtF at its relaxed geometry, as listed in the Alexandria database.

a b c (Å): 4.2646 4.2646 4.5304
angles (deg): 90.00 90.00 90.00
Space group P4/mmm (No. 123)
Symmetry-distinct sites (fractional):
Si: 0.0000 0.5000 0.0000 x2
As: 0.0000 0.0000 0.5000 x1
Pt: 0.5000 0.5000 0.5000 x1
F: 0.0000 0.0000 0.0000 x1

Summary:
Formation energy from raw total energies in kcal/mol of atoms: 8.03



[4]
First-principles (PBE) data for crystalline Tl2SiGeTe4 at its relaxed geometry, as listed in the Alexandria database.

a b c (Å): 10.0086 9.2929 6.7267
angles (deg): 90.00 90.00 90.00
Space group Pmn2_1 (No. 31)
Symmetry-distinct sites (fractional):
Tl: 0.2297 0.1501 0.0000 x4
Si: 0.0000 0.3862 0.5806 x2
Ge: 0.0000 0.6866 0.0478 x2
Te: 0.0000 0.4026 0.9618 x2
Te: 0.0000 0.6491 0.4593 x2
Te: 0.2064 0.2443 0.4864 x4

Summary:
Formation energy from raw total energies in kcal/mol of atoms: -2.74



[5]
First-principles (PBE) data for crystalline Y2MnPt at its relaxed geometry, as listed in the Alexandria database.

a b c (Å): 3.9276 3.9276 22.9257
angles (deg): 90.00 90.00 120.00
Space group R-3m (No. 166, hexagonal axes)
Symmetry-distinct sites (fractional):
Y: 0.0000 0.0000 0.2405 x6
Mn: 0.0000 0.0000 0.0000 x3
Pt: 0.0000 0.0000 0.5000 x3

Summary:
Energy of formation in eV/f.u.: -0.88



[6]
First-principles (PBE) data for crystalline Ag2Pt at its relaxed geometry, as listed in the Alexandria database.

a b c (Å): 6.4038 4.1696 8.0324
angles (deg): 90.00 107.98 90.00
Space group Pm (No. 6)
Symmetry-distinct sites (fractional):
Ag: 0.0000 0.0000 0.0000 x1
Ag: 0.9998 0.0000 0.4980 x1
Ag: 0.0003 0.5000 0.7507 x1
Ag: 0.3345 0.0000 0.3335 x1
Ag: 0.3375 0.0000 0.8366 x1
Ag: 0.3395 0.5000 0.5815 x1
Ag: 0.6644 0.5000 0.9149 x1
Ag: 0.6662 0.0000 0.1679 x1
Pt: 0.3311 0.5000 0.0920 x1
Pt: 0.6681 0.0000 0.6604 x1
Pt: 0.6740 0.5000 0.4159 x1
Pt: 0.9985 0.5000 0.2485 x1

Summary:
Energy of formation in eV/f.u.: 0.11



[7]
First-principles (PBE) data for crystalline PaBPd6 at its relaxed geometry, as listed in the Alexandria database.

a b c (Å): 7.9001 7.9001 7.3521
angles (deg): 90.00 90.00 120.00
Space group R-3m (No. 166, hexagonal axes)
Symmetry-distinct sites (fractional):
Pa: 0.0000 0.0000 0.0000 x3
B: 0.0000 0.0000 0.5000 x3
Pd: 0.0841 0.5420 0.3304 x18

Summary:
Energy of formation in eV/f.u.: -2.73



[8]
First-principles (PBE) data for crystalline LaTl2TcO8 at its relaxed geometry, as listed in the Alexandria database.

a b c (Å): 5.1269 6.8829 5.1389
angles (deg): 90.00 91.51 90.00
Space group P2/m (No. 10)
Symmetry-distinct sites (fractional):
La: 0.0000 0.0000 0.0000 x1
Tl: 0.5000 0.2559 0.5000 x2
Tc: 0.0000 0.5000 0.0000 x1
O: 0.1777 0.3029 0.8256 x4
O: 0.2771 0.5000 0.2804 x2
O: 0.3097 0.0000 0.3152 x2

Summary:
Formation energy from raw total energies in kcal/mol of atoms: -31.87



[9]
First-principles (PBE) data for crystalline MgSc2HAu at its relaxed geometry, as listed in the Alexandria database.

a b c (Å): 4.3390 4.3390 4.3628
angles (deg): 90.00 90.00 90.00
Space group P4/mmm (No. 123)
Symmetry-distinct sites (fractional):
Mg: 0.0000 0.0000 0.0000 x1
Sc: 0.0000 0.5000 0.5000 x2
H: 0.0000 0.0000 0.5000 x1
Au: 0.5000 0.5000 0.0000 x1

Summary:
Final energy in eV/atom: -4.61



[10]
First-principles (PBE) data for crystalline La2PrAuN at its relaxed geometry, as listed in the Alexandria database.

a b c (Å): 5.0430 5.0430 5.0444
angles (deg): 90.00 90.00 90.00
Space group P4/mmm (No. 123)
Symmetry-distinct sites (fractional):
La: 0.0000 0.5000 0.0000 x2
Pr: 0.0000 0.0000 0.5000 x1
Au: 0.5000 0.5000 0.5000 x1
N: 0.0000 0.0000 0.0000 x1

Summary:
Formation energy from raw total energies in kcal/mol of atoms: -18.10



[11]
First-principles (PBE) data for crystalline Te2AsI at its relaxed geometry, as listed in the Alexandria database.

a b c (Å): 4.2980 4.2980 27.2255
angles (deg): 90.00 90.00 120.00
Space group R-3m (No. 166, hexagonal axes)
Symmetry-distinct sites (fractional):
Te: 0.0000 0.0000 0.1088 x6
As: 0.0000 0.0000 0.5000 x3
I: 0.0000 0.0000 0.0000 x3

Summary:
Formation energy from raw total energies in kcal/mol of atoms: 1.32



[12]
First-principles (PBE) data for crystalline EuTm2Sc at its relaxed geometry, as listed in the Alexandria database.

a b c (Å): 5.6324 5.6324 3.8383
angles (deg): 90.00 90.00 90.00
Space group P4/mmm (No. 123)
Symmetry-distinct sites (fractional):
Eu: 0.0000 0.0000 0.0000 x1
Tm: 0.0000 0.5000 0.5000 x2
Sc: 0.5000 0.5000 0.0000 x1

Summary:
Energy of formation in eV/f.u.: 0.79